# Li2Ag2Ir | Alexandria via LeMat-Bulk | PBE | optimized geometry
# DFT formation energy: 133 meV/atom
# Energy relative to the lowest polymorph listed for this composition: 12 kJ/mol of formula units
# Electronic total energy: -3.546 eV/atom
data_Li2Ag2Ir
_cell_length_a 7.4643
_cell_length_b 7.4643
_cell_length_c 2.7172
_cell_angle_alpha 90.00
_cell_angle_beta 90.00
_cell_angle_gamma 90.00
_symmetry_space_group_name_H-M 'P 4/m b m'
_symmetry_Int_Tables_number 127
_symmetry_space_group_name_Hall '-P 4 2ab'
loop_
_atom_site_label
_atom_site_type_symbol
_atom_site_fract_x
_atom_site_fract_y
_atom_site_fract_z
Li1 Li 0.1701 0.3299 0.0000
Ag1 Ag 0.1321 0.6321 0.5000
Ir1 Ir 0.0000 0.0000 0.5000